The following is a GGA-PBE calculation of a relaxed LiNpGaI6 crystal, from Alexandria.

Cell and atoms, written as CIF:
```
data_LiNpGaI6
_chemical_formula_sum 'Li2 Np2 Ga2 I12'
_space_group_name_H-M_alt 'P 1'
_space_group_IT_number 1
_cell_length_a 7.384
_cell_length_b 7.384
_cell_length_c 13.609
_cell_angle_alpha 90.00
_cell_angle_beta 90.00
_cell_angle_gamma 90.03
loop_
_space_group_symop_operation_xyz
'x,y,z'
loop_
_atom_site_label
_atom_site_type_symbol
_atom_site_fract_x
_atom_site_fract_y
_atom_site_fract_z
Li1 Li 0.000 0.000 0.000
Li2 Li 0.500 0.500 0.499
Np1 Np 0.000 0.000 0.674
Np2 Np 0.500 0.500 0.173
Ga1 Ga 0.000 0.000 0.339
Ga2 Ga 0.500 0.500 0.839
I1 I 0.191 0.191 0.841
I2 I 0.200 0.200 0.514
I3 I 0.210 0.210 0.164
I4 I 0.289 0.711 0.664
I5 I 0.300 0.700 0.014
I6 I 0.309 0.691 0.340
I7 I 0.691 0.309 0.340
I8 I 0.700 0.300 0.014
I9 I 0.711 0.289 0.664
I10 I 0.790 0.790 0.164
I11 I 0.800 0.800 0.514
I12 I 0.809 0.809 0.841
```

Values from the calculation:
DFT total energy: -3.772 eV/atom
formation energy from raw total energies: -0.75 eV per atom
M_tot: 0.33 μB per atom